DFT (PBE) results for a relaxed AlCoP2 crystal.

Summary:
- Symmetry: C2/m
- Mass density: 4.57 Mg/m³

Cell: 4.131 4.131 3.402 Å, 99.57 99.57 105.80°
Fractional coordinates of all 4 atoms:
Al  0.000  0.000  0.000
Co  0.500  0.500  0.000
P  0.000  0.500  0.500
P  0.500  0.000  0.500

DFT (PBE) results for a relaxed Al2CoP crystal.

Summary:
- Symmetry: Amm2
- Mass density: 4.36 Mg/m³

Cell: 3.677 4.681 4.681 Å, 42.90 90.00 90.00°
Fractional coordinates of all 4 atoms:
Al  0.000  0.000  0.000
Al  0.500  0.301  0.301
Co  0.500  0.582  0.582
P  0.000  0.722  0.722

DFT (PBE) results for a relaxed AlCoP2 crystal.

Summary:
- Symmetry: P2/m
- Mass density: 4.21 Mg/m³

Cell: 3.990 3.213 4.822 Å, 90.00 109.24 90.00°
Fractional coordinates of all 4 atoms:
Al  0.000  0.000  0.000
Co  0.500  0.000  0.500
P  0.244  0.500  0.687
P  0.756  0.500  0.313

Formation energy list, top to bottom, in kJ/mol of formula units: 22, -156, -45
Calculated volume list, top to bottom, in A^3/atom: 13.43, 13.71, 14.59